(1)
Compound: LaCoP2S
Source: the Alexandria database
Functional: PBE-GGA
Structure: optimized geometry

a = 5.4773 Å, b = 5.4773 Å, c = 5.3905 Å
α = 90.00°, β = 90.00°, γ = 90.00°
Closest atoms and distances in Å follow each position.
Positions (direct):
La  0.0000  0.0000  0.0000  2 S 2.70, 4 P 2.74
Co  0.5000  0.5000  0.5000  8 P 3.84, 4 S 3.87
P  0.0000  0.5000  0.0000  2 La 2.74
P  0.5000  0.0000  0.0000  2 La 2.74
S  0.0000  0.0000  0.5000  2 La 2.70

Output
formation energy from raw total energies = 1132 meV per atom
SG = P4/mmm
offset from the most stable computed form = 1754 meV per atom

---

(2)
Compound: LaCoPS2
Source: the Alexandria database
Functional: PBE-GGA
Structure: optimized geometry

a = 4.7419 Å, b = 4.7419 Å, c = 4.1703 Å
α = 90.00°, β = 90.00°, γ = 90.00°
Closest atoms and distances in Å follow each position.
Positions (direct):
La  0.0000  0.0000  0.0000  8 S 3.16, 4 P 3.35
Co  0.5000  0.5000  0.5000  2 P 2.09
P  0.5000  0.5000  0.0000  2 Co 2.09
S  0.0000  0.5000  0.5000  2 Co 2.37
S  0.5000  0.0000  0.5000  2 Co 2.37

Output
formation energy from raw total energies = -811 meV per atom
SG = P4/mmm
offset from the most stable computed form = 0 meV per atom

---

> offset from the most stable computed form of number 2 (LaCoPS2)?

0 meV per atom

---

> Which formula does entry 2 have?

LaCoPS2

---

> Which value of offset from the most stable computed form does entry 2 give?

0 meV per atom

---

> Which of these has the lowest formation energy from raw total energies?

LaCoPS2